[1]
A plane-wave DFT calculation with GGA+U was carried out for a relaxed structure of BaV2FeF.

a = 5.414 Å, b = 4.297 Å, c = 5.414 Å
α = 90.00°, β = 90.00°, γ = 90.00°
Each line ends with the local moment (μB).
Sites, in units of the cell vectors:
F 0.000 0.500 0.000  0.02
Fe 0.000 0.000 0.000  -3.52
Ba 0.500 0.500 0.500  0.27
V 0.000 0.000 0.500  3.09
V 0.500 0.000 0.000  3.18

Output
* E: -21.7 eV per cell
* space group: No. 123

***

[2]
A plane-wave DFT calculation with GGA+U was carried out for a relaxed structure of Ba2ZnFeF.

a = 6.620 Å, b = 4.045 Å, c = 6.620 Å
α = 90.00°, β = 90.00°, γ = 90.00°
Each line ends with the local moment (μB).
Sites, in units of the cell vectors:
Ba 0.500 0.000 0.000  -0.12
Zn 0.500 0.500 0.500  -0.06
Fe 0.000 0.000 0.000  3.56
F 0.000 0.500 0.000  0.05
Ba 0.000 0.000 0.500  -0.12

Output
* E: -14.2 eV per cell
* space group: No. 123

***

Record-wise magnetization values, in μB per formula unit: 5.34; 2.59